(1)
NaLi2BIr | PBE-GGA | optimized geometry

## Properties
- Space-group type: P4/mmm

Cell: 4.4546 4.4546 4.0002 Å, 90.00 90.00 90.00°
Closest atoms and distances in Å follow each position.
Sites, in units of the cell vectors:
1 Na 0.5000 0.5000 0.5000  8 Li 2.99, 4 Ir 3.15
2 B 0.0000 0.0000 0.0000  2 Ir 2.00, 4 Li 2.23
3 Ir 0.0000 0.0000 0.5000  2 B 2.00
4 Li 0.0000 0.5000 0.0000  2 B 2.23
5 Li 0.5000 0.0000 0.0000  2 B 2.23

=====

(2)
Li2NbBIr | PBE-GGA | optimized geometry

## Properties
- Space-group type: P4/mmm

Cell: 5.1103 4.6457 5.1103 Å, 90.00 90.00 90.00°
Closest atoms and distances in Å follow each position.
Sites, in units of the cell vectors:
1 Nb 0.0000 0.0000 0.0000  2 Ir 2.32, 4 Li 2.56
2 Ir 0.0000 0.5000 0.0000  2 Nb 2.32
3 B 0.5000 0.5000 0.5000  8 Li 3.45, 4 Ir 3.61
4 Li 0.0000 0.0000 0.5000  2 Nb 2.56
5 Li 0.5000 0.0000 0.0000  2 Nb 2.56

=====

(3)
LiNiBIr | PBE-GGA | optimized geometry

## Properties
- Space-group type: F-43m

Cell: 3.8102 3.8102 3.8102 Å, 60.00 60.00 60.00°
Closest atoms and distances in Å follow each position.
Sites, in units of the cell vectors:
1 Ni 0.0000 0.0000 0.0000  4 Li 2.33, 4 B 2.33
2 B 0.2500 0.2500 0.2500  4 Ir 2.33, 4 Ni 2.33
3 Ir 0.5000 0.5000 0.5000  4 Li 2.33, 4 B 2.33
4 Li 0.7500 0.7500 0.7500  4 Ni 2.33, 4 Ir 2.33

=====

(4)
LiNi2BIr | PBE-GGA | optimized geometry

## Properties
- Space-group type: P4/mmm

Cell: 3.8511 3.8511 4.0347 Å, 90.00 90.00 90.00°
Closest atoms and distances in Å follow each position.
Sites, in units of the cell vectors:
1 Ni 0.0000 0.5000 0.0000  2 B 1.93
2 Ni 0.5000 0.0000 0.0000  2 B 1.93
3 B 0.0000 0.0000 0.0000  4 Ni 1.93, 2 Ir 2.02
4 Ir 0.0000 0.0000 0.5000  2 B 2.02
5 Li 0.5000 0.5000 0.5000  4 Ir 2.72, 8 Ni 2.79

=====

Number 1: E_form -0.001 eV per atom. Number 2: E_form 2.053 eV per atom. Number 3: E_form -0.118 eV per atom. Number 4: E_form -0.113 eV per atom.